{
  "formula": "MoPtF2",
  "functional": "PBE with a Hubbard U",
  "state": "optimized geometry",
  "lattice_angstrom": [[6.128, 0.000, 0.000], [0.000, 6.128, 0.000], [0.000, 0.000, 6.128]],
  "species": ["Mo", "Mo", "Mo", "Mo", "Pt", "Pt", "Pt", "Pt", "F", "F", "F", "F", "F", "F", "F", "F"],
  "frac_coords": [[0.000, 0.000, 0.000], [0.000, 0.500, 0.500], [0.500, 0.000, 0.500], [0.500, 0.500, 0.000], [0.000, 0.000, 0.500], [0.000, 0.500, 0.000], [0.500, 0.000, 0.000], [0.500, 0.500, 0.500], [0.250, 0.250, 0.250], [0.250, 0.250, 0.750], [0.250, 0.750, 0.250], [0.250, 0.750, 0.750], [0.750, 0.250, 0.250], [0.750, 0.250, 0.750], [0.750, 0.750, 0.250], [0.750, 0.750, 0.750]],
  "space_group": "Fm-3m",
  "dft_energy_ev_per_atom": -4.357,
  "crystal_system": "cubic",
  "magmom_total_mub_per_atom": 0.94
}